[1]
VASP calculation (PBE) on an optimized crystal structure of KCeNbO5.

Cell and atoms, written as POSCAR:
```
KCeNbO5
1.0
3.8814 -5.1297 0.0000
3.8814 5.1297 0.0000
-3.2931 0.0000 7.4269
K Ce Nb O
2 2 2 10
Cartesian
1.4116 3.3419 5.5702 K
3.0581 -3.3419 1.8567 K
3.8814 0.0000 0.0000 Ce
2.2349 0.0000 3.7135 Ce
3.0581 3.2520 1.8567 Nb
1.4116 -3.2520 5.5702 Nb
-1.5075 0.7418 6.7066 O
1.8974 2.1643 2.8729 O
0.1391 -0.7418 2.9931 O
4.2189 2.1643 0.8405 O
1.4116 0.6376 5.5702 O
3.0581 -0.6376 1.8567 O
0.2509 -2.1643 6.5864 O
4.3307 0.7418 4.4338 O
2.5723 -2.1643 4.5540 O
5.9772 -0.7418 0.7204 O
```

**SG**: C2/c
**V**: 18.5 Å³/atom
**Uncorrected energy**: -64.14 eV per formula unit
**ΔE_f (raw)**: -268 kJ/mol of atoms
**Total moment**: 0.0000 μB per atom

=====

[2]
VASP calculation (PBE) on an optimized crystal structure of KCeNb4O12.

Cell and atoms, written as POSCAR:
```
KCeNb4O12
1.0
7.9178 0.0000 0.0000
0.0000 3.9728 4.0699
0.0000 -3.9728 4.0699
K Ce Nb O
1 1 4 12
Cartesian
0.0000 0.0000 0.0000 K
3.9589 0.0000 3.8415 Ce
1.9675 -1.9817 5.9815 Nb
1.9675 1.9817 5.9815 Nb
5.9503 -1.9817 5.9815 Nb
5.9503 1.9817 5.9815 Nb
0.0000 -1.7902 6.1327 O
0.0000 1.7902 6.1327 O
1.8795 0.0000 2.2640 O
2.0884 -2.0878 4.1098 O
2.0884 2.0878 4.1098 O
2.3513 0.0000 5.8793 O
3.9589 -1.7011 2.2181 O
3.9589 1.7011 2.2181 O
5.5665 0.0000 5.8793 O
5.8293 -2.0878 4.1098 O
5.8293 2.0878 4.1098 O
6.0382 0.0000 2.2640 O
```

**SG**: Amm2
**V**: 14.2 Å³/atom
**Uncorrected energy**: -154.12 eV per formula unit
**ΔE_f (raw)**: -254 kJ/mol of atoms
**Total moment**: 0.0472 μB per atom

=====

[3]
VASP calculation (PBE) on an optimized crystal structure of K4CeNb3O12.

Cell and atoms, written as POSCAR:
```
K4CeNb3O12
1.0
-4.1671 4.1671 4.1671
4.1671 -4.1671 4.1671
4.1671 4.1671 -4.1671
K Ce Nb O
4 1 3 12
Cartesian
2.0836 2.0836 -2.0836 K
2.0836 -2.0836 2.0836 K
-2.0836 2.0836 2.0836 K
2.0836 2.0836 2.0836 K
0.0000 0.0000 0.0000 Ce
4.1671 0.0000 0.0000 Nb
0.0000 4.1671 0.0000 Nb
0.0000 0.0000 4.1671 Nb
2.2141 0.0000 0.0000 O
6.1202 0.0000 0.0000 O
4.1671 2.0836 0.0000 O
4.1671 0.0000 2.0836 O
0.0000 2.2141 0.0000 O
0.0000 0.0000 2.2141 O
2.0836 4.1671 0.0000 O
2.0836 0.0000 4.1671 O
0.0000 6.1202 0.0000 O
0.0000 0.0000 6.1202 O
0.0000 4.1671 2.0836 O
0.0000 2.0836 4.1671 O
```

**SG**: Im-3m
**V**: 14.5 Å³/atom
**Uncorrected energy**: -148.18 eV per formula unit
**ΔE_f (raw)**: -232 kJ/mol of atoms
**Total moment**: 0.0417 μB per atom

=====

[4]
VASP calculation (PBE) on an optimized crystal structure of K2CeNbO6.

Cell and atoms, written as POSCAR:
```
K2CeNbO6
1.0
0.0000 4.2738 4.2738
4.2738 0.0000 4.2738
4.2738 4.2738 0.0000
K Ce Nb O
2 1 1 6
Cartesian
2.1369 2.1369 2.1369 K
6.4107 6.4107 6.4107 K
0.0000 0.0000 0.0000 Ce
4.2738 4.2738 4.2738 Nb
4.2738 4.2738 2.2539 O
4.2738 2.2539 4.2738 O
6.2936 4.2738 4.2738 O
2.2539 4.2738 4.2738 O
4.2738 6.2936 4.2738 O
4.2738 4.2738 6.2936 O
```

**SG**: Fm-3m
**V**: 15.6 Å³/atom
**Uncorrected energy**: -72.10 eV per formula unit
**ΔE_f (raw)**: -233 kJ/mol of atoms
**Total moment**: 0.1034 μB per atom

=====

[5]
VASP calculation (PBE) on an optimized crystal structure of KSrCeNbO6.

Cell and atoms, written as POSCAR:
```
KSrCeNbO6
1.0
0.0000 4.2516 4.2516
4.2516 0.0000 4.2516
4.2516 4.2516 0.0000
K Sr Ce Nb O
1 1 1 1 6
Cartesian
0.0000 0.0000 0.0000 K
4.2516 4.2516 4.2516 Sr
6.3773 6.3773 6.3773 Ce
2.1258 2.1258 2.1258 Nb
2.1258 2.1258 0.1086 O
2.1258 0.1086 2.1258 O
4.1430 2.1258 2.1258 O
0.1086 2.1258 2.1258 O
2.1258 4.1430 2.1258 O
2.1258 2.1258 4.1430 O
```

**SG**: F-43m
**V**: 15.4 Å³/atom
**Uncorrected energy**: -76.42 eV per formula unit
**ΔE_f (raw)**: -269 kJ/mol of atoms
**Total moment**: 0.0000 μB per atom

=====

[6]
VASP calculation (PBE) on an optimized crystal structure of K3Ce3NbS8.

Cell and atoms, written as POSCAR:
```
K3Ce3NbS8
1.0
4.0266 2.3248 7.5264
-4.0266 2.3248 7.5264
0.0000 -4.6495 7.5264
K Ce Nb S
3 3 1 8
Cartesian
-2.0133 -1.1624 7.5264 K
-2.0133 1.1624 15.0529 K
0.0000 2.3247 7.5264 K
-4.0266 0.0000 11.2897 Ce
-2.0133 1.1624 3.7632 Ce
2.0133 1.1624 3.7632 Ce
0.0000 0.0000 11.2897 Nb
0.0000 0.0000 5.3367 S
-1.8692 -1.0792 12.7333 S
0.0000 -2.1584 9.8460 S
-1.8692 1.0792 9.8460 S
1.8692 -1.0792 12.7333 S
0.0000 2.1584 12.7333 S
1.8692 1.0792 9.8460 S
0.0000 0.0000 17.2426 S
```

**SG**: R-3m
**V**: 28.2 Å³/atom
**Uncorrected energy**: -88.29 eV per formula unit
**ΔE_f (raw)**: -155 kJ/mol of atoms
**Total moment**: 0.2673 μB per atom

=====

[7]
VASP calculation (PBE) on an optimized crystal structure of KCeNd2.

Cell and atoms, written as POSCAR:
```
KCeNd2
1.0
2.1405 1.2358 10.6580
-2.1405 1.2358 10.6580
0.0000 -2.4717 10.6580
K Ce Nd
1 1 2
Cartesian
0.0000 0.0000 0.0000 K
0.0000 0.0000 15.9869 Ce
0.0000 0.0000 3.7979 Nd
0.0000 0.0000 28.1760 Nd
```

**SG**: R-3m
**V**: 42.3 Å³/atom
**Uncorrected energy**: -13.82 eV per formula unit
**Calculated formation energy**: 265.4 kJ/mol of formula units
**Total moment**: 0.0001 μB per atom

=====

[8]
VASP calculation (PBE) on an optimized crystal structure of K3CeNd2O6.

Cell and atoms, written as POSCAR:
```
K3CeNd2O6
1.0
3.1563 -5.4670 0.0000
3.1563 5.4670 0.0000
-2.1052 0.0000 6.3011
K Ce Nd O
3 1 2 6
Cartesian
0.0000 0.0000 0.0000 K
3.1563 1.8166 0.0000 K
3.1563 -1.8166 0.0000 K
2.1037 0.0000 3.1506 Ce
2.1037 3.6444 3.1506 Nd
2.1037 -3.6444 3.1506 Nd
1.0598 1.8085 1.9477 O
0.0157 0.0000 4.3508 O
1.0598 -1.8085 1.9477 O
3.1476 1.8085 4.3534 O
4.1916 0.0000 1.9503 O
3.1476 -1.8085 4.3534 O
```

**SG**: C2/m
**V**: 18.1 Å³/atom
**Uncorrected energy**: -79.75 eV per formula unit
**ΔE_f (raw)**: -251 kJ/mol of atoms
**Total moment**: 0.0825 μB per atom